DFT (GGA-PBE) results for a relaxed Sr2Te2Au crystal.

a b c (Å): 8.7877 8.7877 4.2851
angles (deg): 90.00 90.00 90.00
Fractional positions:
Sr1 0.6534 0.8466 0.5000
Te1 0.6555 0.1555 0.0000
Sr2 0.1534 0.6534 0.5000
Au1 0.0000 0.0000 0.0000
Te2 0.1555 0.3445 0.0000
Te3 0.8445 0.6555 0.0000
Au2 0.5000 0.5000 0.0000
Sr3 0.3466 0.1534 0.5000
Te4 0.3445 0.8445 0.0000
Sr4 0.8466 0.3466 0.5000

Computed properties:
Formation energy from raw total energies ... -1047 meV per atom
Raw total energy ... -3.632 eV/atom
Magnetization ... 0.000 μB/atom